Below is a geometry-optimized La2Y5Tm4 structure, with properties calculated at the PBE-GGA level.

Unit cell a=8.931 b=8.931 c=6.707 alpha=99.40 beta=99.40 gamma=43.93
Element x y z (fractional)
La 0.203 0.203 0.298
La 0.797 0.797 0.702
Y 0.000 0.000 0.500
Y 0.174 0.648 0.091
Y 0.352 0.826 0.909
Y 0.648 0.174 0.091
Y 0.826 0.352 0.909
Tm 0.244 0.244 0.805
Tm 0.414 0.414 0.597
Tm 0.586 0.586 0.403
Tm 0.756 0.756 0.195

Output
DOS(E_F), states/eV per cell: 17.687
E_form, kJ/mol of formula units: 172